Cu3AsF at its PBEsol-relaxed geometry, computed with meta-GGA SCAN.

Cell lengths 4.4333, 4.4333, 4.4333 Å; angles 90.00, 90.00, 90.00 degrees
Closest atoms and distances in Å follow each position.
Space group Pm-3m (No. 221)
Asymmetric unit:
Cu1 0.0000 0.0000 0.5000 [3 per cell]  2 As 2.22
As1 0.0000 0.0000 0.0000 [1 per cell]  6 Cu 2.22
F1 0.5000 0.5000 0.5000 [1 per cell]  12 Cu 3.13

Formation energy from raw total energies = 149 meV/atom
M_tot = 0.758 μB/cell

---

Cu3As4O6F6 at its PBEsol-relaxed geometry, computed with meta-GGA SCAN.

Cell lengths 7.9119, 7.9119, 7.9119 Å; angles 90.00, 90.00, 90.00 degrees
Closest atoms and distances in Å follow each position.
Space group I-43m (No. 217)
Asymmetric unit:
Cu1 0.0000 0.0000 0.5000 [6 per cell]  4 F 1.98, 2 O 2.03
As1 0.1501 0.1501 0.1501 [8 per cell]  3 O 1.83
O1 0.0000 0.0000 0.2435 [12 per cell]  2 As 1.83, 1 Cu 2.03
F1 0.0000 0.2500 0.5000 [12 per cell]  2 Cu 1.98

Formation energy from raw total energies = -1493 meV/atom
M_tot = 6.000 μB/cell

---

CuAsH2 at its PBEsol-relaxed geometry, computed with meta-GGA SCAN.

Cell lengths 5.2407, 5.2407, 5.2407 Å; angles 90.00, 90.00, 90.00 degrees
Closest atoms and distances in Å follow each position.
Space group Fm-3m (No. 225)
Asymmetric unit:
Cu1 0.0000 0.0000 0.0000 [4 per cell]  8 H 2.27
As1 0.0000 0.0000 0.5000 [4 per cell]  8 H 2.27
H1 0.2500 0.2500 0.2500 [8 per cell]  4 As 2.27, 4 Cu 2.27

Energy relative to the lowest polymorph listed for this composition = 288 meV/atom
M_tot = 0.002 μB/cell

---

CuAsH2 at its PBEsol-relaxed geometry, computed with meta-GGA SCAN.

Cell lengths 4.6352, 4.6352, 7.4063 Å; angles 90.00, 90.00, 90.00 degrees
Closest atoms and distances in Å follow each position.
Space group I-42d (No. 122)
Asymmetric unit:
Cu1 0.0000 0.0000 0.0000 [4 per cell]  4 H 1.63
As1 0.0000 0.0000 0.5000 [4 per cell]  4 H 2.21
H1 0.1479 0.2500 0.1250 [8 per cell]  2 Cu 1.63

Energy relative to the lowest polymorph listed for this composition = 0 meV/atom
M_tot = 0.000 μB/cell

---

K4Cu3As4H2O16 at its PBEsol-relaxed geometry, computed with meta-GGA SCAN.

Cell lengths 9.3880, 10.1178, 9.6271 Å; angles 90.00, 118.50, 90.00 degrees
Closest atoms and distances in Å follow each position.
Space group P2_1/c (No. 14)
Asymmetric unit:
K1 0.1044 0.1244 0.1639 [4 per cell]  1 H 2.65, 5 O 2.66-2.94
K2 0.2387 0.0064 0.6776 [4 per cell]  5 O 2.60-2.80
Cu1 0.3813 0.6522 0.6198 [4 per cell]  4 O 1.93-2.01
Cu2 0.5000 0.0000 0.5000 [2 per cell]  4 O 1.87-2.04
As1 0.1876 0.6685 0.8101 [4 per cell]  4 O 1.72-1.73
As2 0.3990 0.2063 0.0453 [4 per cell]  4 O 1.68-1.75
H1 0.1127 0.1974 0.8689 [4 per cell]  1 O 1.11
O1 0.0098 0.1438 0.7303 [4 per cell]  1 H 1.33
O2 0.1798 0.6515 0.6281 [4 per cell]  1 As 1.73, 1 Cu 1.93
O3 0.1966 0.2487 0.4784 [4 per cell]  1 H 1.11
O4 0.2546 0.6773 0.3894 [4 per cell]  1 As 1.72
O5 0.2822 0.5372 0.9339 [4 per cell]  1 As 1.72, 1 Cu 1.87
O6 0.4148 0.1929 0.8755 [4 per cell]  1 As 1.72
O7 0.4440 0.0733 0.1628 [4 per cell]  1 As 1.68
O8 0.4994 0.6494 0.8573 [4 per cell]  1 As 1.75

VASP energy = -10.64 eV per atom
M_tot = 5.972 μB/cell

---

NaCu5Sb2As6H18O34 at its PBEsol-relaxed geometry, computed with meta-GGA SCAN.

Cell lengths 7.1021, 9.8919, 10.6809 Å; angles 107.89, 103.94, 94.24 degrees
Closest atoms and distances in Å follow each position.
Space group P-1 (No. 2)
Asymmetric unit:
Na1 0.0000 0.0000 0.0000 [1 per cell]  6 O 2.30-2.36
Cu1 0.0000 0.5000 0.5000 [1 per cell]  4 O 1.95-2.01
Cu2 0.0742 0.3844 0.1732 [2 per cell]  4 O 1.93-2.05
Cu3 0.5000 0.5000 0.0000 [1 per cell]  4 O 1.92-2.02
Cu4 0.5000 0.5000 0.5000 [1 per cell]  4 O 1.93-1.98
Sb1 0.0000 0.0000 0.5000 [1 per cell]  6 O 1.94-2.02
Sb2 0.5000 0.0000 0.5000 [1 per cell]  6 O 1.93-2.04
As1 0.1585 0.7018 0.3470 [2 per cell]  4 O 1.68-1.76
As2 0.2121 0.2009 0.3511 [2 per cell]  4 O 1.69-1.77
As3 0.3530 0.6515 0.7761 [2 per cell]  4 O 1.70-1.76
H1 0.0633 0.3715 0.9328 [2 per cell]  1 O 1.01
H2 0.1519 0.0227 0.7997 [2 per cell]  1 O 0.99
H3 0.1891 0.2488 0.9646 [2 per cell]  1 O 1.02
H4 0.2791 0.2955 0.7707 [2 per cell]  1 O 0.99
H5 0.3098 0.7933 0.0349 [2 per cell]  1 O 1.00
H6 0.3158 0.9107 0.1759 [2 per cell]  1 O 0.98
H7 0.3306 0.0405 0.9254 [2 per cell]  1 O 0.98
H8 0.4466 0.8586 0.7370 [2 per cell]  1 O 1.00
H9 0.4951 0.3097 0.7566 [2 per cell]  1 O 0.99
O1 0.0128 0.0948 0.3624 [2 per cell]  1 As 1.75, 1 H 1.82
O2 0.0238 0.1892 0.6493 [2 per cell]  1 As 1.75
O3 0.0891 0.5839 0.1845 [2 per cell]  1 H 1.64, 1 As 1.69
O4 0.1032 0.5857 0.6980 [2 per cell]  1 As 1.75, 1 Cu 1.95
O5 0.1324 0.2025 0.1897 [2 per cell]  1 As 1.69
O6 0.1656 0.3510 0.0056 [2 per cell]  2 H 1.01-1.02
O7 0.2045 0.6344 0.4762 [2 per cell]  1 As 1.68
O8 0.2175 0.0855 0.8952 [2 per cell]  2 H 0.98-0.99
O9 0.2514 0.8786 0.0775 [2 per cell]  2 H 0.98-1.00
O10 0.2785 0.3563 0.4851 [2 per cell]  1 As 1.69
O11 0.2823 0.0239 0.5788 [2 per cell]  2 Sb 1.93-1.94
O12 0.3731 0.8081 0.3544 [2 per cell]  1 As 1.76, 1 H 1.87
O13 0.3856 0.8380 0.8058 [2 per cell]  1 H 1.00
O14 0.3904 0.6482 0.9391 [2 per cell]  1 As 1.71, 1 H 1.71
O15 0.4002 0.0933 0.3556 [2 per cell]  1 H 1.77, 1 As 1.77
O16 0.4055 0.3618 0.8051 [2 per cell]  2 H 0.99
O17 0.4812 0.4155 0.3082 [2 per cell]  1 As 1.70

VASP energy = -9.50 eV per atom
M_tot = 4.009 μB/cell

---

Cu3As2H2PbO10 at its PBEsol-relaxed geometry, computed with meta-GGA SCAN.

Cell lengths 10.0945, 5.9219, 13.9146 Å; angles 90.00, 105.67, 90.00 degrees
Closest atoms and distances in Å follow each position.
Space group C2/c (No. 15)
Asymmetric unit:
Cu1 0.0000 0.0000 0.0000 [4 per cell]  4 O 1.90-2.03
Cu2 0.0000 0.5000 0.0000 [4 per cell]  4 O 1.90-2.02
Cu3 0.2500 0.2500 0.0000 [4 per cell]  4 O 1.90-1.99
As1 0.2015 0.2113 0.3568 [8 per cell]  4 O 1.70-1.77
H1 0.1305 0.2210 0.1421 [8 per cell]  1 O 1.06
Pb1 0.0000 0.2417 0.7500 [4 per cell]  8 O 2.60-2.72
O1 0.1053 0.2499 0.0637 [8 per cell]  1 H 1.06
O2 0.1204 0.2873 0.6001 [8 per cell]  1 As 1.74
O3 0.1307 0.4601 0.3782 [8 per cell]  1 As 1.70
O4 0.1368 0.0111 0.9162 [8 per cell]  1 As 1.77
O5 0.1555 0.1150 0.2368 [8 per cell]  1 H 1.42

VASP energy = -13.99 eV per atom
M_tot = 12.110 μB/cell

---

ZnCuAsHO5 at its PBEsol-relaxed geometry, computed with meta-GGA SCAN.

Cell lengths 8.5371, 8.5818, 5.9370 Å; angles 90.00, 90.00, 90.00 degrees
Closest atoms and distances in Å follow each position.
Space group Pnnm (No. 58)
Asymmetric unit:
Zn1 0.1393 0.1249 0.0000 [4 per cell]  5 O 1.97-2.09
Cu1 0.0000 0.5000 0.2503 [4 per cell]  4 O 1.96-1.98
As1 0.2376 0.7455 0.0000 [4 per cell]  4 O 1.70-1.74
H1 0.0683 0.7041 0.5000 [4 per cell]  1 O 0.99
O1 0.1046 0.8953 0.0000 [4 per cell]  1 As 1.72
O2 0.1169 0.5995 0.5000 [4 per cell]  1 H 0.99
O3 0.1319 0.5723 0.0000 [4 per cell]  1 As 1.74
O4 0.1421 0.2572 0.2715 [8 per cell]  1 As 1.70

VASP energy = -10.56 eV per atom
M_tot = 4.015 μB/cell

---

Number 1 is which compound? Cu3AsF

---

Among the records above, which one has the lowest M_tot? number 4

---

Copy entry 1 word for word.
Cu3AsF at its PBEsol-relaxed geometry, computed with meta-GGA SCAN.

Cell lengths 4.4333, 4.4333, 4.4333 Å; angles 90.00, 90.00, 90.00 degrees
Closest atoms and distances in Å follow each position.
Space group Pm-3m (No. 221)
Asymmetric unit:
Cu1 0.0000 0.0000 0.5000 [3 per cell]  2 As 2.22
As1 0.0000 0.0000 0.0000 [1 per cell]  6 Cu 2.22
F1 0.5000 0.5000 0.5000 [1 per cell]  12 Cu 3.13

Formation energy from raw total energies = 149 meV/atom
M_tot = 0.758 μB/cell